## K2Zn2CdAu5 (PBE)

Data for a relaxed K2Zn2CdAu5 crystal.

a b c (Å): 11.8892 11.8892 3.0806
angles (deg): 90.00 90.00 90.00
Atoms (fractional coordinates):
K1 0.1755 0.3245 0.0000
K2 0.3245 0.8245 0.0000
K3 0.6755 0.1755 0.0000
K4 0.8245 0.6755 0.0000
Zn1 0.1282 0.6282 0.0000
Zn2 0.3718 0.1282 0.0000
Zn3 0.6282 0.8718 0.0000
Zn4 0.8718 0.3718 0.0000
Cd1 0.0000 0.0000 0.0000
Cd2 0.5000 0.5000 0.0000
Au1 0.0000 0.5000 0.5000
Au2 0.0640 0.8010 0.5000
Au3 0.1990 0.0640 0.5000
Au4 0.3010 0.5640 0.5000
Au5 0.4360 0.3010 0.5000
Au6 0.5000 0.0000 0.5000
Au7 0.5640 0.6990 0.5000
Au8 0.6990 0.4360 0.5000
Au9 0.8010 0.9360 0.5000
Au10 0.9360 0.1990 0.5000

Output
energy of formation from the pure elements	-2.29	eV/f.u.

=====

## SrGa3Pt3 (PBE)

Data for a relaxed SrGa3Pt3 crystal.

a b c (Å): 6.9267 6.9267 6.9267
angles (deg): 90.00 90.00 90.00
Atoms (fractional coordinates):
Sr1 0.0000 0.0000 0.0000
Sr2 0.5000 0.5000 0.5000
Ga1 0.0000 0.2500 0.5000
Ga2 0.0000 0.7500 0.5000
Ga3 0.2500 0.5000 0.0000
Ga4 0.5000 0.0000 0.2500
Ga5 0.5000 0.0000 0.7500
Ga6 0.7500 0.5000 0.0000
Pt1 0.0000 0.5000 0.2500
Pt2 0.0000 0.5000 0.7500
Pt3 0.2500 0.0000 0.5000
Pt4 0.5000 0.2500 0.0000
Pt5 0.5000 0.7500 0.0000
Pt6 0.7500 0.0000 0.5000

Output
energy of formation from the pure elements	-4.03	eV/f.u.
energy above the lowest structure with this stoichiometry	42	kJ/mol of formula units

=====

## CsNb4Cl11 (PBE)

Data for a relaxed CsNb4Cl11 crystal.

a b c (Å): 16.3018 7.0540 7.2783
angles (deg): 90.00 90.00 90.00
Atoms (fractional coordinates):
Cs1 0.2500 0.0000 0.0273
Cs2 0.7500 0.0000 0.9727
Nb1 0.0000 0.2864 0.5000
Nb2 0.0000 0.7136 0.5000
Nb3 0.1410 0.5000 0.6156
Nb4 0.3590 0.5000 0.6156
Nb5 0.5000 0.2864 0.5000
Nb6 0.5000 0.7136 0.5000
Nb7 0.6410 0.5000 0.3844
Nb8 0.8590 0.5000 0.3844
Cl1 0.0773 0.2504 0.7975
Cl2 0.0773 0.7496 0.7975
Cl3 0.0828 0.0000 0.3726
Cl4 0.0857 0.5000 0.3016
Cl5 0.2500 0.2699 0.4875
Cl6 0.2500 0.5000 0.8830
Cl7 0.2500 0.7301 0.4875
Cl8 0.4143 0.5000 0.3016
Cl9 0.4172 0.0000 0.3726
Cl10 0.4227 0.2504 0.7975
Cl11 0.4227 0.7496 0.7975
Cl12 0.5773 0.2504 0.2025
Cl13 0.5773 0.7496 0.2025
Cl14 0.5828 0.0000 0.6274
Cl15 0.5857 0.5000 0.6984
Cl16 0.7500 0.2699 0.5125
Cl17 0.7500 0.5000 0.1170
Cl18 0.7500 0.7301 0.5125
Cl19 0.9143 0.5000 0.6984
Cl20 0.9172 0.0000 0.6274
Cl21 0.9227 0.2504 0.2025
Cl22 0.9227 0.7496 0.2025

Output
uncorrected formation energy	-1.373	eV/atom

=====

## Cs2TaPt (PBE)

Data for a relaxed Cs2TaPt crystal.

a b c (Å): 5.8785 5.8785 5.8785
angles (deg): 60.00 60.00 60.00
Atoms (fractional coordinates):
Cs1 0.2500 0.2500 0.2500
Cs2 0.7500 0.7500 0.7500
Ta1 0.0000 0.0000 0.0000
Pt1 0.5000 0.5000 0.5000

Output
energy of formation from the pure elements	6.93	eV/f.u.
energy above the lowest structure with this stoichiometry	324	kJ/mol of formula units

=====

## Mn2TcHRu (PBE)

Data for a relaxed Mn2TcHRu crystal.

a b c (Å): 3.7629 3.7629 3.7583
angles (deg): 90.00 90.00 90.00
Atoms (fractional coordinates):
Mn1 0.0000 0.5000 0.0000
Mn2 0.5000 0.0000 0.0000
Tc1 0.0000 0.0000 0.5000
H1 0.5000 0.5000 0.0000
Ru1 0.5000 0.5000 0.5000

Output
energy above the lowest structure with this stoichiometry	0	kJ/mol of formula units

=====

## Ta2Te2Se (PBE)

Data for a relaxed Ta2Te2Se crystal.

a b c (Å): 6.8267 6.8267 6.3692
angles (deg): 100.44 100.44 121.13
Atoms (fractional coordinates):
Ta1 0.1088 0.2341 0.4719
Ta2 0.2341 0.1088 0.9719
Ta3 0.7659 0.8912 0.0281
Ta4 0.8912 0.7659 0.5281
Te1 0.2675 0.7325 0.7500
Te2 0.4162 0.5838 0.2500
Te3 0.5838 0.4162 0.7500
Te4 0.7325 0.2675 0.2500
Se1 0.1220 0.8780 0.2500
Se2 0.8780 0.1220 0.7500

Output
uncorrected formation energy	-0.307	eV/atom

=====

## Li2TaBe (PBE)

Data for a relaxed Li2TaBe crystal.

a b c (Å): 5.3167 5.3167 5.3167
angles (deg): 141.26 141.26 55.95
Atoms (fractional coordinates):
Li1 0.2500 0.7500 0.5000
Li2 0.7500 0.2500 0.5000
Ta1 0.0000 0.0000 0.0000
Be1 0.5000 0.5000 0.0000

Output
energy of formation from the pure elements	2.26	eV/f.u.

=====

## Dy8OsPt2 (PBE)

Data for a relaxed Dy8OsPt2 crystal.

a b c (Å): 8.9612 8.9612 6.8089
angles (deg): 105.88 105.88 32.42
Atoms (fractional coordinates):
Dy1 0.0312 0.0312 0.2939
Dy2 0.2022 0.2022 0.8099
Dy3 0.3350 0.3350 0.5353
Dy4 0.4078 0.4078 0.0598
Dy5 0.5922 0.5922 0.9402
Dy6 0.6650 0.6650 0.4647
Dy7 0.7978 0.7978 0.1901
Dy8 0.9688 0.9688 0.7061
Os1 0.5000 0.5000 0.5000
Pt1 0.1882 0.1882 0.2084
Pt2 0.8118 0.8118 0.7916

Output
energy of formation from the pure elements	-6.17	eV/f.u.
energy above the lowest structure with this stoichiometry	0	kJ/mol of formula units

=====

## LaNdSn2 (PBE)

Data for a relaxed LaNdSn2 crystal.

a b c (Å): 3.5736 3.5736 9.1700
angles (deg): 90.00 90.00 90.00
Atoms (fractional coordinates):
La1 0.0000 0.0000 0.0000
Nd1 0.0000 0.0000 0.5000
Sn1 0.5000 0.5000 0.2539
Sn2 0.5000 0.5000 0.7461

Output
energy of formation from the pure elements	-2.82	eV/f.u.

=====

## LiPrEuAg (PBE)

Data for a relaxed LiPrEuAg crystal.

a b c (Å): 5.4040 5.4040 5.4040
angles (deg): 60.00 60.00 60.00
Atoms (fractional coordinates):
Li1 0.0000 0.0000 0.0000
Pr1 0.2500 0.2500 0.2500
Eu1 0.7500 0.7500 0.7500
Ag1 0.5000 0.5000 0.5000

Output
energy of formation from the pure elements	-0.32	eV/f.u.

=====

## BeZnFe (PBE)

Data for a relaxed BeZnFe crystal.

a b c (Å): 3.8781 3.8781 5.1486
angles (deg): 90.00 90.00 120.00
Atoms (fractional coordinates):
Be1 0.0000 0.0000 0.2029
Be2 0.0000 0.0000 0.7971
Zn1 0.3333 0.6667 0.3928
Zn2 0.6667 0.3333 0.6072
Fe1 0.3333 0.6667 0.9156
Fe2 0.6667 0.3333 0.0844

Output
energy of formation from the pure elements	0.01	eV/f.u.
energy above the lowest structure with this stoichiometry	0	kJ/mol of formula units

=====

## YRe3 (PBE)

Data for a relaxed YRe3 crystal.

a b c (Å): 4.1153 4.1153 4.1153
angles (deg): 90.00 90.00 90.00
Atoms (fractional coordinates):
Y1 0.0000 0.0000 0.0000
Re1 0.0000 0.5000 0.5000
Re2 0.5000 0.0000 0.5000
Re3 0.5000 0.5000 0.0000

Output
energy of formation from the pure elements	2.90	eV/f.u.
energy above the lowest structure with this stoichiometry	178	kJ/mol of formula units